SrCdSiO4, relaxed, DFT PBE; M_tot = 0.00 μB per formula unit; space-group type = No. 63; raw total energy = -6.372 eV/atom
1.0
3.117 -4.820 0.000
3.117 4.820 0.000
0.000 0.000 6.821
Sr Cd Si O
2 2 2 8
Direct
0.000 0.000 0.000 Sr
0.000 0.000 0.500 Sr
0.335 0.665 0.750 Cd
0.665 0.335 0.250 Cd
0.358 0.642 0.250 Si
0.642 0.358 0.750 Si
0.252 0.324 0.250 O
0.257 0.743 0.054 O
0.257 0.743 0.446 O
0.324 0.252 0.750 O
0.676 0.748 0.250 O
0.743 0.257 0.554 O
0.743 0.257 0.946 O
0.748 0.676 0.750 O



TaSi2Mo, relaxed, DFT PBE; M_tot = 0.00 μB per formula unit; distance to the lowest polymorph of the same formula = 53.6 kJ/mol of atoms; space-group type = No. 99; raw total energy = -8.215 eV/atom
1.0
2.710 0.000 0.000
0.000 2.710 0.000
0.000 0.000 8.552
Ta Si Mo
1 2 1
Direct
0.000 0.000 0.000 Ta
0.000 0.000 0.504 Si
0.500 0.500 0.765 Si
0.500 0.500 0.275 Mo



KCdBMo2, relaxed, DFT PBE; M_tot = 1.97 μB per formula unit; space-group type = No. 123; raw total energy = -2.895 eV/atom
1.0
4.628 0.000 0.000
0.000 4.628 0.000
0.000 0.000 4.607
K Cd B Mo
1 1 1 2
Direct
0.000 0.000 0.000 K
0.500 0.500 0.500 Cd
0.000 0.000 0.500 B
0.000 0.500 0.000 Mo
0.500 0.000 0.000 Mo



K3Li2F6, relaxed, DFT PBE; M_tot = 1.13 μB per formula unit; space-group type = No. 139; raw total energy = -4.234 eV/atom
1.0
-1.961 1.961 10.895
1.961 -1.961 10.895
1.961 1.961 -10.895
K Li F
3 2 6
Direct
0.000 0.000 0.000 K
0.183 0.183 0.000 K
0.817 0.817 0.000 K
0.393 0.393 0.000 Li
0.607 0.607 0.000 Li
0.086 0.586 0.500 F
0.306 0.306 0.000 F
0.414 0.914 0.500 F
0.586 0.086 0.500 F
0.694 0.694 0.000 F
0.914 0.414 0.500 F